[1]
OsNCl: relaxed, PBE.

total magnetization: 0.0 μB per cell
final energy: -40.637 eV for the cell shown
relative energy among the computed polymorphs: 0.0000 eV per atom

Cell lengths 3.4441, 3.6416, 8.2817 Å; angles 90.00, 90.00, 90.00 degrees
Element x y z (fractional)
Os  0.2500  0.2500  0.1196
Os  0.7500  0.7500  0.8804
N  0.2500  0.7500  0.0169
N  0.7500  0.2500  0.9831
Cl  0.2500  0.7500  0.6733
Cl  0.7500  0.2500  0.3267

***

[2]
HoScTlTe3: relaxed, PBE.

total magnetization: 0.0 μB per cell
final energy: -56.979 eV for the cell shown

Cell lengths 8.0101, 8.0101, 11.7097 Å; angles 90.00, 90.00, 148.44 degrees
Element x y z (fractional)
Ho  0.0000  0.0000  0.0000
Ho  0.0000  0.0000  0.5000
Sc  0.4464  0.5536  0.7500
Sc  0.5536  0.4464  0.2500
Tl  0.2500  0.7500  0.2500
Tl  0.7500  0.2500  0.7500
Te  0.0652  0.9348  0.7500
Te  0.3601  0.6399  0.5407
Te  0.3601  0.6399  0.9593
Te  0.6399  0.3601  0.0407
Te  0.6399  0.3601  0.4593
Te  0.9348  0.0652  0.2500

***

[3]
TbNdNi2P2: relaxed, PBE.

total magnetization: 0.0 μB per cell
final energy: -38.513 eV for the cell shown

Cell lengths 3.9322, 3.9322, 7.9029 Å; angles 90.00, 90.00, 120.00 degrees
Element x y z (fractional)
Tb  0.0000  0.0000  0.0000
Nd  0.0000  0.0000  0.5000
Ni  0.3333  0.6667  0.2443
Ni  0.6667  0.3333  0.7557
P  0.3333  0.6667  0.7594
P  0.6667  0.3333  0.2406

***

[4]
Tb2IBr2N: relaxed, PBE.

total magnetization: 0.0 μB per cell
final energy: -65.538 eV for the cell shown

Cell lengths 9.3497, 9.3497, 11.5394 Å; angles 123.23, 123.23, 24.36 degrees
Element x y z (fractional)
Tb  0.0760  0.0760  0.4611
Tb  0.3669  0.3669  0.2146
Tb  0.6331  0.6331  0.7854
Tb  0.9240  0.9240  0.5389
I  0.4541  0.4541  0.7712
I  0.5459  0.5459  0.2288
Br  0.1712  0.1712  0.0134
Br  0.2866  0.2866  0.3799
Br  0.7134  0.7134  0.6201
Br  0.8288  0.8288  0.9866
N  0.0726  0.0726  0.6547
N  0.9274  0.9274  0.3453

***

Question: total magnetization of number 1 (OsNCl)?
Answer: 0.0 μB per cell